1.
Material: YFe2Au2
Method: DFT, PBE
State: optimized geometry

abc: 4.187 4.187 6.092
angles: 69.90 69.90 90.00
Site moments in Bohr magnetons follow the coordinates.
Positions (direct):
Au (0.750, 0.250, 0.500)  0.03
Au (0.250, 0.750, 0.500)  0.03
Fe (0.398, 0.398, 0.203)  2.46
Fe (0.602, 0.602, 0.797)  2.46
Y (0.000, 0.000, 0.000)  -0.24

Values from the calculation:
VASP energy in eV/atom: -6.06
SG: No. 139

2.
Material: HfMgZr2C
Method: DFT, PBE
State: optimized geometry

abc: 4.614 4.614 4.526
angles: 90.00 90.00 90.00
Positions (direct):
C (0.000, 0.000, 0.000)
Zr (0.000, 0.500, 0.000)
Zr (0.500, 0.000, 0.000)
Mg (0.500, 0.500, 0.500)
Hf (0.000, 0.000, 0.500)

Values from the calculation:
VASP energy in eV/atom: -7.90
SG: No. 123

3.
Material: Ac2Ga4Ag3Pd
Method: DFT, PBE
State: optimized geometry

abc: 4.564 4.564 10.685
angles: 90.00 90.00 90.00
Positions (direct):
Ag (0.000, 0.500, 0.134)
Ag (0.500, 0.000, 0.866)
Ag (0.000, 0.000, 0.500)
Ga (0.000, 0.000, 0.000)
Ga (0.500, 0.500, 0.000)
Ga (0.500, 0.000, 0.620)
Ga (0.000, 0.500, 0.380)
Ac (0.000, 0.500, 0.745)
Ac (0.500, 0.000, 0.255)
Pd (0.500, 0.500, 0.500)

Values from the calculation:
VASP energy in eV/atom: -3.87
SG: No. 115

Which of these has the highest VASP energy?
Ac2Ga4Ag3Pd